(1)
Computed, not measured: an optimized crystal structure of Er3Zn3Au2 at the PBE-GGA level of DFT.

Cell and atoms, written as POSCAR:
```
Er3Zn3Au2
1.0
3.831 0.000 0.000
0.000 6.278 -3.625
0.000 0.000 7.249
Er Zn Au
3 3 2
Cartesian
1.915 2.491 1.438
1.915 3.787 -2.186
1.915 0.000 4.373
0.000 4.888 2.822
0.000 1.390 -0.802
0.000 0.000 1.605
0.000 2.093 3.625
0.000 4.185 0.000
```

Calculated values
For the formation energy from the elements, the calculation gives -4.3 eV per formula unit. Its symmetry is No. 189. As for the crystal system: hexagonal.

=====

(2)
Computed, not measured: an optimized crystal structure of Er3Zn2Au4 at the PBE-GGA level of DFT.

Cell and atoms, written as POSCAR:
```
Er3Zn2Au4
1.0
-1.856 -1.359 3.935
-1.664 -3.127 -4.505
7.955 -1.947 3.079
Er Zn Au
3 2 4
Cartesian
3.713 -3.178 3.293
0.000 0.000 0.000
0.722 -3.255 -0.784
0.819 -2.348 2.215
3.616 -4.085 0.294
-1.508 -2.454 1.081
5.944 -3.979 1.428
1.657 -5.104 1.658
2.778 -1.329 0.851
```

Calculated values
For the formation energy from the elements, the calculation gives -6.5 eV per formula unit. Its symmetry is No. 12. As for the crystal system: monoclinic.